# 1
Density functional theory data (meta-GGA SCAN) for a PBEsol-optimized structure of TlCu2Rh.

Structure (CIF):
```
data_TlCu2Rh
_chemical_formula_sum 'Tl1 Cu2 Rh1'
_space_group_name_H-M_alt 'P 4/m m m'
_space_group_IT_number 123
_space_group_name_Hall '-P 4 2'
_cell_length_a 3.844
_cell_length_b 3.844
_cell_length_c 3.902
_cell_angle_alpha 90.00
_cell_angle_beta 90.00
_cell_angle_gamma 90.00
loop_
_atom_site_label
_atom_site_type_symbol
_atom_site_fract_x
_atom_site_fract_y
_atom_site_fract_z
Tl1 Tl 0.000 0.000 0.000
Cu1 Cu 0.000 0.500 0.500
Rh1 Rh 0.500 0.500 0.000
```

Energy ... -136.13 eV per cell
Energy above the lowest structure with this stoichiometry ... 0.00 eV/f.u.
ΔH_f (0 K) ... 0.10 eV/atom

# 2
Density functional theory data (meta-GGA SCAN) for a PBEsol-optimized structure of TlCu2Rh.

Structure (CIF):
```
data_TlCu2Rh
_chemical_formula_sum 'Tl3 Cu6 Rh3'
_space_group_name_H-M_alt 'R 3 m'
_space_group_IT_number 160
_space_group_name_Hall 'R 3 -2"'
_cell_length_a 2.9141
_cell_length_b 2.9141
_cell_length_c 24.7812
_cell_angle_alpha 90.00
_cell_angle_beta 90.00
_cell_angle_gamma 120.00
loop_
_atom_site_label
_atom_site_type_symbol
_atom_site_fract_x
_atom_site_fract_y
_atom_site_fract_z
Tl1 Tl 0.0000 0.0000 0.0000
Cu1 Cu 0.0000 0.0000 0.4978
Cu2 Cu 0.0000 0.0000 0.7584
Rh1 Rh 0.0000 0.0000 0.2429
```

Energy ... -404.87 eV per cell
Energy above the lowest structure with this stoichiometry ... 1.18 eV/f.u.
ΔH_f (0 K) ... 0.39 eV/atom

# 3
Density functional theory data (meta-GGA SCAN) for a PBEsol-optimized structure of TlCu2Rh.

Structure (CIF):
```
data_TlCu2Rh
_chemical_formula_sum 'Tl1 Cu2 Rh1'
_space_group_name_H-M_alt 'P m m m'
_space_group_IT_number 47
_cell_length_a 2.927
_cell_length_b 3.679
_cell_length_c 5.486
_cell_angle_alpha 90.00
_cell_angle_beta 90.00
_cell_angle_gamma 90.00
loop_
_space_group_symop_operation_xyz
'x,y,z'
'-x,-y,-z'
'-x,-y,z'
'x,y,-z'
'x,-y,-z'
'-x,y,z'
'-x,y,-z'
'x,-y,z'
loop_
_atom_site_label
_atom_site_type_symbol
_atom_site_fract_x
_atom_site_fract_y
_atom_site_fract_z
Tl1 Tl 0.000 0.000 0.000
Cu1 Cu 0.500 0.500 0.280
Rh1 Rh 0.000 0.000 0.500
```

Energy ... -135.61 eV per cell
Energy above the lowest structure with this stoichiometry ... 0.53 eV/f.u.
ΔH_f (0 K) ... 0.23 eV/atom

# 4
Density functional theory data (meta-GGA SCAN) for a PBEsol-optimized structure of Cu2RhW.

Structure (CIF):
```
data_Cu2RhW
_chemical_formula_sum 'Cu8 Rh4 W4'
_space_group_name_H-M_alt 'F -4 3 m'
_space_group_IT_number 216
_space_group_name_Hall 'F -4 2 3'
_cell_length_a 5.953
_cell_length_b 5.953
_cell_length_c 5.953
_cell_angle_alpha 90.00
_cell_angle_beta 90.00
_cell_angle_gamma 90.00
loop_
_atom_site_label
_atom_site_type_symbol
_atom_site_fract_x
_atom_site_fract_y
_atom_site_fract_z
Cu1 Cu 0.000 0.000 0.000
Cu2 Cu 0.250 0.250 0.250
Rh1 Rh 0.250 0.250 0.750
W1 W 0.000 0.000 0.500
```

Energy ... -531.82 eV per cell
Energy above the lowest structure with this stoichiometry ... 0.00 eV/f.u.
ΔH_f (0 K) ... 0.23 eV/atom

# 5
Density functional theory data (meta-GGA SCAN) for a PBEsol-optimized structure of Cu2RhW.

Structure (CIF):
```
data_Cu2RhW
_chemical_formula_sum 'Cu4 Rh2 W2'
_space_group_name_H-M_alt 'C 1 2/m 1'
_space_group_IT_number 12
_cell_length_a 5.107
_cell_length_b 8.843
_cell_length_c 2.632
_cell_angle_alpha 90.00
_cell_angle_beta 116.01
_cell_angle_gamma 90.00
loop_
_space_group_symop_operation_xyz
'x,y,z'
'-x,-y,-z'
'-x,y,-z'
'x,-y,z'
'x+1/2,y+1/2,z'
'-x+1/2,-y+1/2,-z'
'-x+1/2,y+1/2,-z'
'x+1/2,-y+1/2,z'
loop_
_atom_site_label
_atom_site_type_symbol
_atom_site_fract_x
_atom_site_fract_y
_atom_site_fract_z
Cu1 Cu 0.250 0.250 0.000
Rh1 Rh 0.000 0.000 0.500
W1 W 0.000 0.500 0.500
```

Energy ... -265.56 eV per cell
Energy above the lowest structure with this stoichiometry ... 0.17 eV/f.u.
ΔH_f (0 K) ... 0.27 eV/atom

# 6
Density functional theory data (meta-GGA SCAN) for a PBEsol-optimized structure of Cu2RhW.

Structure (CIF):
```
data_Cu2RhW
_chemical_formula_sum 'Cu4 Rh2 W2'
_space_group_name_H-M_alt 'C m m m'
_space_group_IT_number 65
_space_group_name_Hall '-C 2 2'
_cell_length_a 4.967
_cell_length_b 7.947
_cell_length_c 2.667
_cell_angle_alpha 90.00
_cell_angle_beta 90.00
_cell_angle_gamma 90.00
loop_
_atom_site_label
_atom_site_type_symbol
_atom_site_fract_x
_atom_site_fract_y
_atom_site_fract_z
Cu1 Cu 0.250 0.250 0.000
Rh1 Rh 0.000 0.000 0.500
W1 W 0.000 0.500 0.500
```

Energy ... -265.65 eV per cell
Energy above the lowest structure with this stoichiometry ... 0.13 eV/f.u.
ΔH_f (0 K) ... 0.26 eV/atom

# 7
Density functional theory data (meta-GGA SCAN) for a PBEsol-optimized structure of Cu2RhW.

Structure (CIF):
```
data_Cu2RhW
_chemical_formula_sum 'Cu2 Rh1 W1'
_space_group_name_H-M_alt 'P 4/m m m'
_space_group_IT_number 123
_space_group_name_Hall '-P 4 2'
_cell_length_a 4.301
_cell_length_b 4.301
_cell_length_c 2.806
_cell_angle_alpha 90.00
_cell_angle_beta 90.00
_cell_angle_gamma 90.00
loop_
_atom_site_label
_atom_site_type_symbol
_atom_site_fract_x
_atom_site_fract_y
_atom_site_fract_z
Cu1 Cu 0.000 0.500 0.000
Rh1 Rh 0.000 0.000 0.500
W1 W 0.500 0.500 0.500
```

Energy ... -132.28 eV per cell
Energy above the lowest structure with this stoichiometry ... 0.68 eV/f.u.
ΔH_f (0 K) ... 0.40 eV/atom

# 8
Density functional theory data (meta-GGA SCAN) for a PBEsol-optimized structure of YCu2Rh.

Structure (CIF):
```
data_YCu2Rh
_chemical_formula_sum 'Y1 Cu2 Rh1'
_space_group_name_H-M_alt 'P m m m'
_space_group_IT_number 47
_cell_length_a 3.171
_cell_length_b 3.658
_cell_length_c 5.357
_cell_angle_alpha 90.00
_cell_angle_beta 90.00
_cell_angle_gamma 90.00
loop_
_space_group_symop_operation_xyz
'x,y,z'
'-x,-y,-z'
'-x,-y,z'
'x,y,-z'
'x,-y,-z'
'-x,y,z'
'-x,y,-z'
'x,-y,z'
loop_
_atom_site_label
_atom_site_type_symbol
_atom_site_fract_x
_atom_site_fract_y
_atom_site_fract_z
Y1 Y 0.000 0.000 0.000
Cu1 Cu 0.500 0.500 0.278
Rh1 Rh 0.000 0.000 0.500
```

Energy ... -92.84 eV per cell
Energy above the lowest structure with this stoichiometry ... 0.64 eV/f.u.
ΔH_f (0 K) ... -0.21 eV/atom

# 9
Density functional theory data (meta-GGA SCAN) for a PBEsol-optimized structure of YCuRh.

Structure (CIF):
```
data_YCuRh
_chemical_formula_sum 'Y1 Cu1 Rh1'
_space_group_name_H-M_alt 'P -6 m 2'
_space_group_IT_number 187
_space_group_name_Hall 'P -6 2'
_cell_length_a 4.2392
_cell_length_b 4.2392
_cell_length_c 3.4513
_cell_angle_alpha 90.00
_cell_angle_beta 90.00
_cell_angle_gamma 120.00
loop_
_atom_site_label
_atom_site_type_symbol
_atom_site_fract_x
_atom_site_fract_y
_atom_site_fract_z
Y1 Y 0.0000 0.0000 0.0000
Cu1 Cu 0.3333 0.6667 0.5000
Rh1 Rh 0.6667 0.3333 0.5000
```

Energy ... -78.42 eV per cell
ΔH_f (0 K) ... -0.53 eV/atom

# 10
Density functional theory data (meta-GGA SCAN) for a PBEsol-optimized structure of Y2CuRh2.

Structure (CIF):
```
data_Y2CuRh2
_chemical_formula_sum 'Y4 Cu2 Rh4'
_space_group_name_H-M_alt 'P 4/m b m'
_space_group_IT_number 127
_space_group_name_Hall '-P 4 2ab'
_cell_length_a 6.886
_cell_length_b 6.886
_cell_length_c 3.961
_cell_angle_alpha 90.00
_cell_angle_beta 90.00
_cell_angle_gamma 90.00
loop_
_atom_site_label
_atom_site_type_symbol
_atom_site_fract_x
_atom_site_fract_y
_atom_site_fract_z
Y1 Y 0.172 0.328 0.000
Cu1 Cu 0.000 0.000 0.500
Rh1 Rh 0.138 0.638 0.500
```

Energy ... -283.42 eV per cell
ΔH_f (0 K) ... -0.66 eV/atom

# 11
Density functional theory data (meta-GGA SCAN) for a PBEsol-optimized structure of YCuRh.

Structure (CIF):
```
data_YCuRh
_chemical_formula_sum 'Y2 Cu2 Rh2'
_space_group_name_H-M_alt 'I 4 m m'
_space_group_IT_number 107
_space_group_name_Hall 'I 4 -2'
_cell_length_a 3.367
_cell_length_b 3.367
_cell_length_c 8.984
_cell_angle_alpha 90.00
_cell_angle_beta 90.00
_cell_angle_gamma 90.00
loop_
_atom_site_label
_atom_site_type_symbol
_atom_site_fract_x
_atom_site_fract_y
_atom_site_fract_z
Y1 Y 0.000 0.000 0.000
Cu1 Cu 0.000 0.000 0.688
Rh1 Rh 0.000 0.000 0.320
```

Energy ... -156.14 eV per cell
ΔH_f (0 K) ... -0.42 eV/atom

# 12
Density functional theory data (meta-GGA SCAN) for a PBEsol-optimized structure of YCu2Rh.

Structure (CIF):
```
data_YCu2Rh
_chemical_formula_sum 'Y1 Cu2 Rh1'
_space_group_name_H-M_alt 'P 4/m m m'
_space_group_IT_number 123
_space_group_name_Hall '-P 4 2'
_cell_length_a 3.869
_cell_length_b 3.869
_cell_length_c 4.077
_cell_angle_alpha 90.00
_cell_angle_beta 90.00
_cell_angle_gamma 90.00
loop_
_atom_site_label
_atom_site_type_symbol
_atom_site_fract_x
_atom_site_fract_y
_atom_site_fract_z
Y1 Y 0.000 0.000 0.000
Cu1 Cu 0.000 0.500 0.500
Rh1 Rh 0.500 0.500 0.000
```

Energy ... -93.42 eV per cell
Energy above the lowest structure with this stoichiometry ... 0.07 eV/f.u.
ΔH_f (0 K) ... -0.35 eV/atom